1.
An optimized crystal structure of Lu3Co, computed with PBE-GGA.

Values from the calculation:
Energy relative to the elements: -0.1285 eV/atom

Lattice parameters (Å, degrees): 3.4523 5.1522 10.4524 90.00 90.00 90.00
Space group Immm (No. 71)
Inequivalent atoms, fractional coordinates:
Lu 0.0000 0.0000 0.0000
Lu 0.0000 0.5000 0.1939
Co 0.0000 0.0000 0.5000

=====

2.
An optimized crystal structure of Ac2H6RuPt, computed with PBE-GGA.

Values from the calculation:
Calculated total energy: -4.87 eV per atom

Lattice parameters (Å, degrees): 7.9886 7.8838 5.4387 90.00 132.79 90.00
Space group Cm (No. 8)
Inequivalent atoms, fractional coordinates:
Ac 0.0000 0.2420 0.0000
H 0.2067 0.5000 0.9306
H 0.2081 0.5000 0.4831
H 0.2789 0.0000 0.0518
H 0.2787 0.0000 0.5047
H 0.4921 0.2230 0.4918
Ru 0.4876 0.0000 0.4868
Pt 0.4081 0.5000 0.4059

=====

3.
An optimized crystal structure of TiAl2TlNi, computed with PBE-GGA.

Values from the calculation:
Energy relative to the elements: 1.1806 eV/atom

Lattice parameters (Å, degrees): 4.9515 4.9515 5.2192 90.00 90.00 90.00
Space group P4/mmm (No. 123)
Inequivalent atoms, fractional coordinates:
Ti 0.0000 0.0000 0.0000
Al 0.0000 0.5000 0.0000
Tl 0.0000 0.0000 0.5000
Ni 0.5000 0.5000 0.5000

=====

4.
An optimized crystal structure of Ac3Pu4Te8, computed with PBE-GGA.

Values from the calculation:
Raw formation energy: -1.256 eV per atom

Lattice parameters (Å, degrees): 12.9704 12.9868 9.1164 90.00 134.46 90.00
Space group C2/m (No. 12)
Inequivalent atoms, fractional coordinates:
Ac 0.0000 0.0000 0.0000
Ac 0.2500 0.2500 0.5000
Pu 0.0000 0.5000 0.0000
Pu 0.0000 0.5000 0.5000
Pu 0.2500 0.2500 0.0000
Te 0.0000 0.2527 0.5000
Te 0.0000 0.2567 0.0000
Te 0.2402 0.5000 0.9930
Te 0.2426 0.5000 0.4883

=====

5.
An optimized crystal structure of Y5Pu3Te8, computed with PBE-GGA.

Values from the calculation:
Raw formation energy: -1.256 eV per atom

Lattice parameters (Å, degrees): 8.7437 8.7437 21.6570 90.00 90.00 120.00
Space group R-3m (No. 166, hexagonal axes)
Inequivalent atoms, fractional coordinates:
Y 0.0000 0.0000 0.0000
Y 0.0000 0.0000 0.5000
Y 0.0000 0.5000 0.0000
Pu 0.0000 0.5000 0.5000
Te 0.0000 0.0000 0.2514
Te 0.0019 0.5010 0.2510

=====

6.
An optimized crystal structure of K3ZnBi, computed with PBE-GGA.

Values from the calculation:
Energy relative to the elements: -0.0536 eV/atom

Lattice parameters (Å, degrees): 13.4036 8.4273 8.1522 90.00 90.00 90.00
Space group Ima2 (No. 46)
Inequivalent atoms, fractional coordinates:
K 0.0004 0.2499 0.0000
K 0.2500 0.0780 0.2528
Zn 0.2500 0.7463 0.4990
Bi 0.2500 0.5292 0.2458

=====

7.
An optimized crystal structure of CaSnNO2, computed with PBE-GGA.

Values from the calculation:
Raw formation energy: 0.478 eV per atom

Lattice parameters (Å, degrees): 4.3699 4.3699 4.1106 90.00 90.00 90.00
Space group P4/mmm (No. 123)
Inequivalent atoms, fractional coordinates:
Ca 0.0000 0.0000 0.0000
Sn 0.5000 0.5000 0.0000
N 0.0000 0.0000 0.5000
O 0.0000 0.5000 0.5000

=====

8.
An optimized crystal structure of RuS, computed with PBE-GGA.

Values from the calculation:
Raw formation energy: -0.161 eV per atom

Lattice parameters (Å, degrees): 3.4047 10.8673 5.4591 90.00 90.00 90.00
Space group Amm2 (No. 38)
Inequivalent atoms, fractional coordinates:
Ru 0.0000 0.0000 0.0000
Ru 0.5000 0.2048 0.1221
S 0.0000 0.1789 0.7827
S 0.5000 0.0000 0.2764

=====

9.
An optimized crystal structure of AcTbHfN3, computed with PBE-GGA.

Values from the calculation:
Raw formation energy: -1.233 eV per atom

Lattice parameters (Å, degrees): 6.7514 3.4818 10.0522 90.00 96.82 90.00
Space group P2_1/m (No. 11)
Inequivalent atoms, fractional coordinates:
Ac 0.1985 0.2500 0.2322
Tb 0.3418 0.7500 0.8855
Hf 0.1627 0.2500 0.5872
N 0.1226 0.2500 0.7878
N 0.1530 0.7500 0.4681
N 0.3898 0.7500 0.1126

=====

10.
An optimized crystal structure of CdCu, computed with PBE-GGA.

Values from the calculation:
Energy relative to the elements: 0.1266 eV/atom

Lattice parameters (Å, degrees): 2.9207 4.6155 4.9551 90.00 90.00 90.00
Space group Pmmn (No. 59, origin choice 2)
Inequivalent atoms, fractional coordinates:
Cd 0.2500 0.2500 0.1125
Cu 0.2500 0.7500 0.4183

=====

11.
An optimized crystal structure of Ac8AgAu2, computed with PBE-GGA.

Values from the calculation:
Energy relative to the elements: -0.2911 eV/atom

Lattice parameters (Å, degrees): 20.1583 5.6170 7.5213 90.00 106.56 90.00
Space group C2/m (No. 12)
Inequivalent atoms, fractional coordinates:
Ac 0.0282 0.0000 0.2808
Ac 0.0908 0.5000 0.9666
Ac 0.1714 0.5000 0.4925
Ac 0.2000 0.0000 0.8483
Ag 0.0000 0.5000 0.5000
Au 0.1780 0.0000 0.2472

=====

12.
An optimized crystal structure of BaLi2Sc, computed with PBE-GGA.

Values from the calculation:
Energy relative to the elements: 0.5018 eV/atom

Lattice parameters (Å, degrees): 4.8052 4.8052 23.0179 90.00 90.00 90.00
Space group I-42d (No. 122)
Inequivalent atoms, fractional coordinates:
Ba 0.0000 0.0000 0.0000
Li 0.1717 0.2500 0.6250
Sc 0.0000 0.0000 0.5000

=====

Number 1: mass density 10.43 g/cm3. Number 2: mass density 9.99 g/cm3. Number 3: mass density 4.74 g/cm3. Number 4: mass density 8.11 g/cm3. Number 5: mass density 7.63 g/cm3. Number 6: mass density 2.83 g/cm3. Number 7: mass density 4.33 g/cm3. Number 8: mass density 6.57 g/cm3. Number 9: mass density 8.58 g/cm3. Number 10: mass density 8.75 g/cm3. Number 11: mass density 9.43 g/cm3. Number 12: mass density 2.45 g/cm3.